The following is a DFT calculation (PBE) of a relaxed CePm2Tm12 crystal.

N(E_F) ... 26.219 states/eV/f.u.
Formation enthalpy at 0 K ... 114 meV/atom
V ... 31.10 A^3/atom

a = 3.516 Å, b = 5.558 Å, c = 23.939 Å
α = 90.00°, β = 94.15°, γ = 90.00°
Fractional coordinates of all 15 atoms:
Ce 0.000 0.000 0.000
Pm 0.360 0.000 0.720
Pm 0.640 0.000 0.280
Tm 0.095 0.500 0.192
Tm 0.166 0.500 0.330
Tm 0.215 0.000 0.428
Tm 0.277 0.500 0.555
Tm 0.434 0.000 0.865
Tm 0.467 0.500 0.933
Tm 0.533 0.500 0.067
Tm 0.566 0.000 0.135
Tm 0.723 0.500 0.445
Tm 0.785 0.000 0.572
Tm 0.834 0.500 0.670
Tm 0.905 0.500 0.808